This record from Alexandria describes a PBEsol-optimized structure of Nb3Ga2. The functional is meta-GGA SCAN.

a b c (Å): 6.874 6.874 3.486
angles (deg): 90.00 90.00 90.00
Fractional coordinates of all 10 atoms:
Nb 0.000 0.000 0.000
Nb 0.175 0.325 0.500
Nb 0.325 0.825 0.500
Nb 0.500 0.500 0.000
Nb 0.675 0.175 0.500
Nb 0.825 0.675 0.500
Ga 0.126 0.626 0.000
Ga 0.374 0.126 0.000
Ga 0.626 0.874 0.000
Ga 0.874 0.374 0.000

Properties
Total magnetic moment: 0.00 μB per formula unit
Final energy: -26.92 eV/atom
DOS at the Fermi energy: 0.40 states/eV/atom
Formation enthalpy at 0 K: -2.501 eV/f.u.
Density: 8.43 g/cm³